Below is crystalline TmHfInAg at its relaxed geometry, with properties calculated at the GGA-PBE level.

Properties
energy of formation = -0.139 eV/atom

Unit cell a=7.1189 b=7.1189 c=7.1189 alpha=90.00 beta=90.00 gamma=90.00
Space group F-43m (No. 216)
Inequivalent atoms, fractional coordinates:
Tm: 0.0000 0.0000 0.0000 [4 per cell]
Hf: 0.0000 0.0000 0.5000 [4 per cell]
In: 0.2500 0.2500 0.2500 [4 per cell]
Ag: 0.2500 0.2500 0.7500 [4 per cell]